This record from Alexandria describes an optimized crystal structure of DyTmMgAl. The functional is PBE-GGA.

Cell and atoms, written as POSCAR:
```
DyTmMgAl
1.0
-0.170 4.563 2.409
-0.712 0.196 5.109
3.877 1.432 3.093
Mg Tm Al Dy
1 1 1 1
direct
0.500 0.500 0.500
0.750 0.750 0.750
0.000 0.000 0.000
0.250 0.250 0.250
```

Calculated values
Its density of states at the Fermi level is 0.5569 states/eV per atom. Its spin magnetization is 0.00 μB per cell. For the calculated formation energy, the calculation gives -102 kJ/mol of formula units.



This record from Alexandria describes an optimized crystal structure of La3SnO. The functional is PBE-GGA.

Cell and atoms, written as POSCAR:
```
La3SnO
1.0
-6.499 1.904 -0.631
1.145 -1.932 -6.438
-1.115 -6.359 0.515
Sn O La
2 2 6
direct
0.575 0.912 0.625
0.850 0.344 0.166
0.317 0.347 0.776
0.108 0.909 0.015
0.784 0.849 0.130
0.641 0.408 0.662
0.357 0.149 0.150
0.212 0.628 0.895
0.213 0.628 0.395
0.068 0.107 0.641
```

Calculated values
Its density of states at the Fermi level is 0.7098 states/eV per atom. Its spin magnetization is 0.00 μB per cell. The value obtained for the formation energy without anion corrections is -1436 meV per atom.